(P)
## TlHgI3 (PBE)

Data for a geometry-optimized TlHgI3 structure.

Density of states at the Fermi level, states/eV/f.u.: 0.97
V, A^3/atom: 42.8

Structure (POSCAR):
```
TlHgI3
1.0
-4.653 0.739 -3.682
-3.716 -1.753 4.344
-0.542 5.669 1.823
I Tl Hg
3 1 1
Direct
0.000 0.000 0.500 I
0.000 0.500 0.000 I
0.500 0.000 0.000 I
0.500 0.500 0.500 Tl
0.000 0.000 0.000 Hg
```



(Q)
## TlHgI3 (PBE)

Data for a geometry-optimized TlHgI3 structure.

Density of states at the Fermi level, states/eV/f.u.: 0.00
V, A^3/atom: 44.5

Structure (POSCAR):
```
TlHgI3
1.0
-3.391 -4.209 -1.139
5.193 -2.107 -7.231
6.339 -5.821 3.100
Tl I Hg
2 6 2
Direct
0.918 0.180 0.620 Tl
0.567 0.724 0.163 Tl
0.005 0.560 0.998 I
0.005 0.013 0.054 I
0.005 0.615 0.452 I
0.480 0.345 0.784 I
0.480 0.289 0.330 I
0.479 0.891 0.728 I
0.742 0.645 0.699 Hg
0.742 0.260 0.084 Hg
```



Here are the energies relative to the best structure, in eV/atom: (P) 0.128; (Q) 0.000.



(P)
## TlHg2I6 (PBE)

Data for a geometry-optimized TlHg2I6 structure.

Density of states at the Fermi level, states/eV/f.u.: 6.00
V, A^3/atom: 51.9

Structure (POSCAR):
```
TlHg2I6
1.0
7.109 -0.026 2.333
3.481 11.138 0.297
-0.291 0.241 11.667
Tl I Hg
2 12 4
Direct
0.750 0.776 0.224 Tl
0.250 0.224 0.776 Tl
0.115 0.786 0.014 I
0.885 0.214 0.986 I
0.705 0.209 0.389 I
0.205 0.389 0.209 I
0.932 0.792 0.428 I
0.432 0.428 0.792 I
0.385 0.986 0.214 I
0.795 0.611 0.791 I
0.568 0.572 0.208 I
0.068 0.208 0.572 I
0.615 0.014 0.786 I
0.295 0.791 0.611 I
0.140 0.653 0.808 Hg
0.860 0.347 0.192 Hg
0.360 0.192 0.347 Hg
0.640 0.808 0.653 Hg
```



(Q)
## TlHg2I6 (PBE)

Data for a geometry-optimized TlHg2I6 structure.

Density of states at the Fermi level, states/eV/f.u.: 1.93
V, A^3/atom: 45.1

Structure (POSCAR):
```
TlHg2I6
1.0
0.256 5.360 5.944
-9.333 3.770 -1.398
-4.659 -5.738 6.974
I Tl Hg
12 2 4
Direct
0.362 0.032 0.184 I
0.638 0.968 0.816 I
0.099 0.089 0.602 I
0.599 0.602 0.089 I
0.138 0.816 0.968 I
0.901 0.911 0.398 I
0.906 0.538 0.709 I
0.094 0.462 0.291 I
0.406 0.709 0.538 I
0.401 0.398 0.911 I
0.594 0.291 0.462 I
0.862 0.184 0.032 I
0.250 0.135 0.865 Tl
0.750 0.865 0.135 Tl
0.294 0.219 0.375 Hg
0.706 0.781 0.625 Hg
0.206 0.625 0.781 Hg
0.794 0.375 0.219 Hg
```



Here are the energies relative to the best structure, in eV/atom: (P) 0.006; (Q) 0.000.



(P)
## TlHg2I4 (PBE)

Data for a geometry-optimized TlHg2I4 structure.

Density of states at the Fermi level, states/eV/f.u.: 2.17
V, A^3/atom: 43.9

Structure (POSCAR):
```
TlHg2I4
1.0
9.583 0.000 0.000
4.791 8.219 -0.049
4.791 2.629 7.787
I Hg Tl
8 4 2
Direct
0.739 0.245 0.278 I
0.261 0.222 0.255 I
0.274 0.236 0.736 I
0.261 0.755 0.722 I
0.739 0.778 0.745 I
0.247 0.764 0.264 I
0.726 0.764 0.264 I
0.753 0.236 0.736 I
0.120 0.130 0.630 Hg
0.500 0.000 0.000 Hg
0.880 0.870 0.370 Hg
0.500 0.500 0.500 Hg
0.000 0.500 0.000 Tl
0.500 0.500 0.000 Tl
```



(Q)
## TlHg2I4 (PBE)

Data for a geometry-optimized TlHg2I4 structure.

Density of states at the Fermi level, states/eV/f.u.: 0.00
V, A^3/atom: 47.1

Structure (POSCAR):
```
TlHg2I4
1.0
1.703 3.655 7.717
-8.558 -7.013 -1.501
5.154 -4.507 6.345
I Hg Tl
8 4 2
Direct
0.524 0.082 0.309 I
0.087 0.189 0.757 I
0.882 0.512 0.494 I
0.502 0.717 0.472 I
0.521 0.718 0.976 I
0.185 0.268 0.265 I
0.853 0.504 0.996 I
0.510 0.078 0.783 I
0.497 0.283 0.618 Hg
0.521 0.566 0.186 Hg
0.116 0.817 0.157 Hg
0.527 0.210 0.073 Hg
0.889 0.979 0.101 Tl
0.887 0.827 0.564 Tl
```



Here are the energies relative to the best structure, in eV/atom: (P) 0.056; (Q) 0.000.



(P)
## Tl3HgI3 (PBE)

Data for a geometry-optimized Tl3HgI3 structure.

Density of states at the Fermi level, states/eV/f.u.: 0.00
V, A^3/atom: 64.2

Structure (POSCAR):
```
Tl3HgI3
1.0
9.652 0.000 0.000
0.000 9.652 0.000
0.000 0.000 9.652
Hg Tl I
2 6 6
Direct
0.000 0.000 0.000 Hg
0.500 0.500 0.500 Hg
0.500 0.000 0.750 Tl
0.500 0.000 0.250 Tl
0.750 0.500 0.000 Tl
0.000 0.250 0.500 Tl
0.000 0.750 0.500 Tl
0.250 0.500 0.000 Tl
0.750 0.000 0.500 I
0.500 0.250 0.000 I
0.000 0.500 0.750 I
0.250 0.000 0.500 I
0.500 0.750 0.000 I
0.000 0.500 0.250 I
```



(Q)
## Tl3HgI3 (PBE)

Data for a geometry-optimized Tl3HgI3 structure.

Density of states at the Fermi level, states/eV/f.u.: 0.00
V, A^3/atom: 47.3

Structure (POSCAR):
```
Tl3HgI3
1.0
-3.312 3.247 8.024
0.920 -6.184 6.843
6.817 2.329 5.831
Tl Hg I
6 2 6
Direct
0.435 0.065 0.744 Tl
0.565 0.935 0.256 Tl
0.065 0.744 0.435 Tl
0.256 0.565 0.935 Tl
0.935 0.256 0.565 Tl
0.744 0.435 0.065 Tl
0.675 0.675 0.675 Hg
0.325 0.325 0.325 Hg
0.388 0.768 0.105 I
0.232 0.895 0.612 I
0.612 0.232 0.895 I
0.895 0.612 0.232 I
0.768 0.105 0.388 I
0.105 0.388 0.768 I
```



Here are the energies relative to the best structure, in eV/atom: (P) 0.053; (Q) 0.000.



(P)
## Tl2HgI4 (PBE)

Data for a geometry-optimized Tl2HgI4 structure.

Density of states at the Fermi level, states/eV/f.u.: 0.00
V, A^3/atom: 49.1

Structure (POSCAR):
```
Tl2HgI4
1.0
-5.795 6.122 1.642
-2.875 -4.678 -6.604
2.045 -3.726 5.608
Hg I Tl
1 4 2
Direct
0.045 0.045 0.090 Hg
0.714 0.104 0.819 I
0.104 0.714 0.818 I
0.411 0.411 0.317 I
0.906 0.906 0.317 I
0.660 0.160 0.319 Tl
0.160 0.660 0.319 Tl
```



(Q)
## Tl2HgI4 (PBE)

Data for a geometry-optimized Tl2HgI4 structure.

V, A^3/atom: 45.9

Structure (POSCAR):
```
Tl2HgI4
1.0
5.051 0.000 0.000
0.000 8.639 0.059
-2.526 -4.148 7.335
I Tl Hg
4 2 1
Direct
0.640 0.269 0.281 I
0.092 0.814 0.184 I
0.360 0.731 0.719 I
0.908 0.186 0.816 I
0.282 0.283 0.563 Tl
0.718 0.717 0.437 Tl
0.000 0.000 0.000 Hg
```



Here are the energies relative to the best structure, in eV/atom: (P) 0.000; (Q) 0.028.



(P)
## TlHg3I (PBE)

Data for a geometry-optimized TlHg3I structure.

Density of states at the Fermi level, states/eV/f.u.: 0.40
V, A^3/atom: 41.5

Structure (POSCAR):
```
TlHg3I
1.0
-4.422 -3.904 -0.522
3.250 -3.174 -3.799
2.224 -3.124 4.513
Hg I Tl
3 1 1
Direct
0.500 0.000 0.000 Hg
0.000 0.000 0.500 Hg
0.000 0.500 0.000 Hg
0.500 0.500 0.500 I
0.000 0.000 0.000 Tl
```



(Q)
## TlHg3I (PBE)

Data for a geometry-optimized TlHg3I structure.

V, A^3/atom: 36.8

Structure (POSCAR):
```
TlHg3I
1.0
-4.009 3.460 1.407
-0.952 -3.543 -4.693
-0.827 -3.431 6.045
Hg I Tl
3 1 1
Direct
0.290 0.014 0.006 Hg
0.902 0.239 0.851 Hg
0.564 0.560 0.799 Hg
0.106 0.643 0.424 I
0.759 0.950 0.331 Tl
```



Here are the energies relative to the best structure, in eV/atom: (P) 0.208; (Q) 0.000.



(P)
## Tl3Hg2I8 (PBE)

Data for a geometry-optimized Tl3Hg2I8 structure.

Density of states at the Fermi level, states/eV/f.u.: 9.96
V, A^3/atom: 47.4

Structure (POSCAR):
```
Tl3Hg2I8
1.0
8.890 0.000 0.000
4.445 7.699 0.000
4.445 2.566 9.005
I Tl Hg
8 3 2
Direct
0.698 0.698 0.906 I
0.209 0.746 0.298 I
0.746 0.209 0.298 I
0.254 0.254 0.702 I
0.254 0.791 0.702 I
0.302 0.302 0.094 I
0.746 0.746 0.298 I
0.791 0.254 0.702 I
0.814 0.814 0.559 Tl
0.186 0.186 0.441 Tl
0.000 0.000 0.000 Tl
0.592 0.592 0.224 Hg
0.408 0.408 0.776 Hg
```



(Q)
## Tl3Hg2I8 (PBE)

Data for a geometry-optimized Tl3Hg2I8 structure.

Density of states at the Fermi level, states/eV/f.u.: 8.87
V, A^3/atom: 46.4

Structure (POSCAR):
```
Tl3Hg2I8
1.0
-2.075 -0.615 7.790
2.193 -9.840 -0.193
6.566 6.641 -0.566
Hg I Tl
2 8 3
Direct
0.618 0.675 0.350 Hg
0.382 0.325 0.650 Hg
0.252 0.650 0.300 I
0.249 0.607 0.736 I
0.748 0.350 0.700 I
0.751 0.393 0.264 I
0.249 0.129 0.736 I
0.206 0.123 0.247 I
0.794 0.877 0.753 I
0.751 0.871 0.264 I
0.500 0.000 0.000 Tl
0.000 0.728 0.000 Tl
0.000 0.272 0.000 Tl
```



Here are the energies relative to the best structure, in eV/atom: (P) 0.051; (Q) 0.000.



(P)
## TmHgI3 (PBE)

Data for a geometry-optimized TmHgI3 structure.

Density of states at the Fermi level, states/eV/f.u.: 0.00
V, A^3/atom: 42.7

Structure (POSCAR):
```
TmHgI3
1.0
5.976 0.000 0.000
0.000 5.976 0.000
0.000 0.000 5.976
I Tm Hg
3 1 1
Direct
0.500 0.000 0.000 I
0.000 0.000 0.500 I
0.000 0.500 0.000 I
0.000 0.000 0.000 Tm
0.500 0.500 0.500 Hg
```



(Q)
## TmHgI3 (PBE)

Data for a geometry-optimized TmHgI3 structure.

Density of states at the Fermi level, states/eV/f.u.: 0.00
V, A^3/atom: 45.4

Structure (POSCAR):
```
TmHgI3
1.0
7.192 0.001 3.786
4.592 6.706 0.001
-0.260 0.176 9.218
Hg I Tm
2 6 2
Direct
0.563 0.673 0.964 Hg
0.863 0.523 0.515 Hg
0.375 0.017 0.497 I
0.551 0.179 0.982 I
0.052 0.179 0.982 I
0.875 0.017 0.497 I
0.052 0.679 0.982 I
0.375 0.518 0.497 I
0.380 0.265 0.739 Tm
0.046 0.932 0.740 Tm
```



Here are the energies relative to the best structure, in eV/atom: (P) 0.069; (Q) 0.000.



(P)
## UHg3I6 (PBE)

Data for a geometry-optimized UHg3I6 structure.

Density of states at the Fermi level, states/eV/f.u.: 1.41
V, A^3/atom: 48.3

Structure (POSCAR):
```
UHg3I6
1.0
-2.690 2.037 6.641
5.675 -4.808 -0.404
6.502 7.649 0.288
I Hg U
6 3 1
Direct
0.000 0.313 0.833 I
0.687 0.687 0.833 I
0.000 0.687 0.167 I
0.687 0.000 0.167 I
0.313 0.000 0.833 I
0.313 0.313 0.167 I
0.000 0.000 0.500 Hg
0.667 0.333 0.500 Hg
0.333 0.667 0.500 Hg
0.000 0.000 0.000 U
```



(Q)
## UHg3I6 (PBE)

Data for a geometry-optimized UHg3I6 structure.

Density of states at the Fermi level, states/eV/f.u.: 4.43
V, A^3/atom: 44.8

Structure (POSCAR):
```
UHg3I6
1.0
8.312 0.000 0.000
0.000 8.096 0.699
0.000 0.929 13.400
Hg I U
6 12 2
Direct
0.965 0.897 0.320 Hg
0.500 0.500 0.000 Hg
0.465 0.603 0.180 Hg
0.035 0.103 0.680 Hg
0.535 0.397 0.820 Hg
0.000 0.000 0.500 Hg
0.494 0.189 0.667 I
0.807 0.386 0.423 I
0.679 0.692 0.639 I
0.506 0.811 0.333 I
0.821 0.192 0.139 I
0.994 0.311 0.833 I
0.006 0.689 0.167 I
0.179 0.808 0.861 I
0.307 0.114 0.077 I
0.193 0.614 0.577 I
0.693 0.886 0.923 I
0.321 0.308 0.361 I
0.000 0.000 0.000 U
0.500 0.500 0.500 U
```



Here are the energies relative to the best structure, in eV/atom: (P) 0.082; (Q) 0.000.



(P)
## UHg2I4 (PBE)

Data for a geometry-optimized UHg2I4 structure.

Density of states at the Fermi level, states/eV/f.u.: 10.17
V, A^3/atom: 63.0

Structure (POSCAR):
```
UHg2I4
1.0
10.728 0.000 0.000
-5.364 8.898 -3.095
0.000 -0.162 18.541
I U Hg
16 4 8
Direct
0.115 0.733 0.851 I
0.104 0.701 0.367 I
0.618 0.733 0.351 I
0.597 0.701 0.867 I
0.896 0.299 0.633 I
0.844 0.738 0.136 I
0.402 0.726 0.128 I
0.598 0.274 0.872 I
0.676 0.274 0.372 I
0.885 0.267 0.149 I
0.894 0.738 0.636 I
0.324 0.726 0.628 I
0.156 0.262 0.864 I
0.382 0.267 0.649 I
0.403 0.299 0.133 I
0.106 0.262 0.364 I
0.945 0.377 0.313 U
0.432 0.377 0.813 U
0.568 0.623 0.187 U
0.055 0.623 0.687 U
0.000 0.000 0.500 Hg
0.500 0.000 0.500 Hg
0.736 0.000 0.750 Hg
0.500 0.500 0.500 Hg
0.000 0.500 0.000 Hg
0.000 0.000 0.000 Hg
0.500 0.000 0.000 Hg
0.264 0.000 0.250 Hg
```



(Q)
## UHg2I4 (PBE)

Data for a geometry-optimized UHg2I4 structure.

Density of states at the Fermi level, states/eV/f.u.: 7.32
V, A^3/atom: 54.1

Structure (POSCAR):
```
UHg2I4
1.0
6.113 0.000 0.000
0.000 6.113 0.000
3.056 3.056 10.135
Hg I U
2 4 1
Direct
0.338 0.338 0.324 Hg
0.662 0.662 0.676 Hg
0.857 0.857 0.286 I
0.000 0.500 0.000 I
0.500 0.000 0.000 I
0.143 0.143 0.714 I
0.000 0.000 0.000 U
```



Here are the energies relative to the best structure, in eV/atom: (P) 0.085; (Q) 0.000.